(1)
## Ac2Ga2SiAu4 (PBE)

Data for a relaxed Ac2Ga2SiAu4 crystal.

a = 6.6947 Å, b = 6.6947 Å, c = 6.6947 Å
α = 89.56°, β = 120.25°, γ = 120.25°
Closest atoms and distances in Å follow each position.
Positions (direct):
Si1 0.0000 0.0000 0.0000  4 Au 2.51
Ac1 0.5000 0.7500 0.2500  8 Au 3.35, 4 Ga 3.41
Au1 0.0000 0.2660 0.7340  1 Si 2.51, 2 Ga 2.77
Ga1 0.0000 0.3240 0.3240  4 Au 2.77, 1 Si 3.08
Ga2 0.0000 0.6760 0.6760  4 Au 2.77, 1 Si 3.08
Au2 0.4681 0.7340 0.7340  1 Si 2.51, 2 Ga 2.77
Au3 0.5319 0.2660 0.2660  1 Si 2.51, 2 Ga 2.77
Ac2 0.5000 0.2500 0.7500  8 Au 3.35, 4 Ga 3.41
Au4 0.0000 0.7340 0.2660  1 Si 2.51, 2 Ga 2.77

## Properties
The uncorrected formation energy comes out at -0.53 eV per atom. As for the density of states at the Fermi level: 5.3 states/eV/cell. As for the symmetry: I4/mmm (139). For the calculated volume, the calculation gives 211 Å³/cell. Its total DFT energy (no corrections) is -4.17 eV/atom.

---

(2)
## Ac2GaSiAu6 (PBE)

Data for a relaxed Ac2GaSiAu6 crystal.

a = 6.9193 Å, b = 7.1080 Å, c = 6.9262 Å
α = 73.32°, β = 50.77°, γ = 94.24°
Closest atoms and distances in Å follow each position.
Positions (direct):
Au1 0.2453 0.2513 0.4929  1 Si 2.52, 1 Ga 2.61
Au2 0.2532 0.7463 0.0083  1 Si 2.52, 1 Ga 2.62
Au3 0.2526 0.3805 0.8705  1 Si 2.57, 1 Ga 2.66
Au4 0.7547 0.7487 0.5071  1 Si 2.52, 1 Ga 2.61
Ac1 0.7447 0.2079 0.5364  7 Au 3.26-3.42
Ac2 0.2553 0.7921 0.4636  7 Au 3.26-3.42
Au5 0.7474 0.6195 0.1295  1 Si 2.57, 1 Ga 2.66
Ga1 0.0000 0.0000 0.0000  6 Au 2.61-2.66
Si1 0.5000 0.5000 0.0000  6 Au 2.52-2.57
Au6 0.7468 0.2537 0.9917  1 Si 2.52, 1 Ga 2.62

## Properties
The uncorrected formation energy comes out at -0.54 eV per atom. As for the density of states at the Fermi level: 4.6 states/eV/cell. As for the symmetry: P-1 (2). For the calculated volume, the calculation gives 237 Å³/cell. Its total DFT energy (no corrections) is -4.17 eV/atom.

---

(3)
## Ac2Ga4SiAu3 (PBE)

Data for a relaxed Ac2Ga4SiAu3 crystal.

a = 4.5690 Å, b = 4.5690 Å, c = 10.5477 Å
α = 90.00°, β = 90.00°, γ = 90.00°
Closest atoms and distances in Å follow each position.
Positions (direct):
Ga1 0.5000 0.5000 0.0000  4 Au 2.67
Au1 0.5000 0.0000 0.8694  5 Ga 2.59-2.67
Ga2 0.5000 0.0000 0.6242  3 Au 2.59-2.63, 2 Si 2.63
Ac1 0.0000 0.5000 0.7451  6 Au 3.45-3.49, 2 Si 3.45, 8 Ga 3.47-3.53
Ga3 0.0000 0.5000 0.3758  3 Au 2.59-2.63, 2 Si 2.63
Ac2 0.5000 0.0000 0.2549  2 Si 3.45, 6 Au 3.45-3.49, 8 Ga 3.47-3.53
Si1 0.5000 0.5000 0.5000  4 Ga 2.63
Au2 0.0000 0.5000 0.1306  5 Ga 2.59-2.67
Ga4 0.0000 0.0000 0.0000  4 Au 2.67
Au3 0.0000 0.0000 0.5000  4 Ga 2.63

## Properties
The uncorrected formation energy comes out at -0.62 eV per atom. As for the density of states at the Fermi level: 3.2 states/eV/cell. As for the symmetry: P-4m2 (115). For the calculated volume, the calculation gives 220 Å³/cell. Its total DFT energy (no corrections) is -4.18 eV/atom.

---

(4)
## AcSmGaAu (PBE)

Data for a relaxed AcSmGaAu crystal.

a = 5.3926 Å, b = 5.3926 Å, c = 5.3926 Å
α = 60.00°, β = 60.00°, γ = 60.00°
Closest atoms and distances in Å follow each position.
Positions (direct):
Sm1 0.5000 0.5000 0.5000  4 Au 3.30, 4 Ga 3.30
Ga1 0.7500 0.7500 0.7500  4 Ac 3.30, 4 Sm 3.30
Au1 0.2500 0.2500 0.2500  4 Ac 3.30, 4 Sm 3.30
Ac1 0.0000 0.0000 0.0000  4 Ga 3.30, 4 Au 3.30

## Properties
For the energy of formation from the pure elements, the calculation gives -585 meV/atom. As for the density of states at the Fermi level: 3.5 states/eV/cell. As for the symmetry: F-43m (216). For the calculated volume, the calculation gives 111 Å³/cell. Its total DFT energy (no corrections) is -4.37 eV/atom.

---

(5)
## Ac2SmGa3Au4 (PBE)

Data for a relaxed Ac2SmGa3Au4 crystal.

a = 4.5649 Å, b = 4.5649 Å, c = 11.6623 Å
α = 90.00°, β = 90.00°, γ = 90.00°
Closest atoms and distances in Å follow each position.
Positions (direct):
Au1 0.0000 0.5000 0.3403  1 Ga 2.59
Ac1 0.5000 0.0000 0.2222  4 Ga 3.45, 8 Au 3.45-3.51
Ga1 0.0000 0.0000 0.5000  4 Au 2.95, 4 Sm 3.23
Au2 0.0000 0.0000 0.0000  4 Ga 2.67
Ga2 0.5000 0.0000 0.8815  5 Au 2.59-2.67
Ga3 0.0000 0.5000 0.1185  5 Au 2.59-2.67
Au3 0.5000 0.0000 0.6597  1 Ga 2.59
Au4 0.5000 0.5000 0.0000  4 Ga 2.67
Ac2 0.0000 0.5000 0.7778  4 Ga 3.45, 8 Au 3.45-3.51
Sm1 0.5000 0.5000 0.5000  4 Au 2.95, 4 Ga 3.23

## Properties
For the energy of formation from the pure elements, the calculation gives -685 meV/atom. As for the density of states at the Fermi level: 6.4 states/eV/cell. As for the symmetry: P-4m2 (115). For the calculated volume, the calculation gives 243 Å³/cell. Its total DFT energy (no corrections) is -4.20 eV/atom.

---

(6)
## AcSmGa2Au5 (PBE)

Data for a relaxed AcSmGa2Au5 crystal.

a = 4.8332 Å, b = 4.8332 Å, c = 8.7174 Å
α = 90.00°, β = 90.00°, γ = 90.00°
Closest atoms and distances in Å follow each position.
Positions (direct):
Au1 0.0000 0.5000 0.7535  2 Ga 2.57
Sm1 0.0000 0.0000 0.0000  8 Au 3.23
Ga1 0.5000 0.5000 0.8545  1 Ga 2.54, 4 Au 2.57
Au2 0.0000 0.5000 0.2465  2 Ga 2.57
Au3 0.5000 0.5000 0.5000  2 Ga 3.09, 8 Au 3.27, 4 Ac 3.42
Au4 0.5000 0.0000 0.2465  2 Ga 2.57
Ac1 0.0000 0.0000 0.5000  12 Au 3.27-3.42
Au5 0.5000 0.0000 0.7535  2 Ga 2.57
Ga2 0.5000 0.5000 0.1455  1 Ga 2.54, 4 Au 2.57

## Properties
For the energy of formation from the pure elements, the calculation gives -540 meV/atom. As for the density of states at the Fermi level: 3.4 states/eV/cell. As for the symmetry: P4/mmm (123). For the calculated volume, the calculation gives 204 Å³/cell. Its total DFT energy (no corrections) is -4.01 eV/atom.

---

(7)
## Ac2GaSn2Au4 (PBE)

Data for a relaxed Ac2GaSn2Au4 crystal.

a = 6.9039 Å, b = 6.9039 Å, c = 6.9039 Å
α = 88.78°, β = 120.71°, γ = 120.71°
Closest atoms and distances in Å follow each position.
Positions (direct):
Au1 0.4676 0.7338 0.7338  1 Ga 2.57
Au2 0.5324 0.2662 0.2662  1 Ga 2.57
Au3 0.0000 0.2662 0.7338  1 Ga 2.57
Au4 0.0000 0.7338 0.2662  1 Ga 2.57
Ac1 0.5000 0.2500 0.7500  8 Au 3.46, 4 Sn 3.48
Sn1 0.0000 0.6834 0.6834  4 Au 2.89, 1 Ga 3.12
Sn2 0.0000 0.3166 0.3166  4 Au 2.89, 1 Ga 3.12
Ga1 0.0000 0.0000 0.0000  4 Au 2.57
Ac2 0.5000 0.7500 0.2500  8 Au 3.46, 4 Sn 3.48

## Properties
For the energy of formation from the pure elements, the calculation gives -592 meV/atom. As for the density of states at the Fermi level: 3.0 states/eV/cell. As for the symmetry: I4/mmm (139). For the calculated volume, the calculation gives 230 Å³/cell. Its total DFT energy (no corrections) is -4.19 eV/atom.

---

(8)
## Ac3Ga2SnAu6 (PBE)

Data for a relaxed Ac3Ga2SnAu6 crystal.

a = 6.5684 Å, b = 6.5684 Å, c = 8.5316 Å
α = 90.00°, β = 90.00°, γ = 120.00°
Closest atoms and distances in Å follow each position.
Positions (direct):
Ga1 0.3333 0.6667 0.0359  3 Au 2.69
Au1 0.1850 0.8150 0.2811  1 Ga 2.69, 1 Sn 2.81, 2 Au 2.92
Ac1 0.6667 0.3333 0.3580  9 Au 3.36-3.51, 1 Ga 3.36
Ac2 0.3333 0.6667 0.6420  9 Au 3.36-3.51, 1 Ga 3.36
Au2 0.8150 0.6300 0.7189  1 Ga 2.69, 1 Sn 2.81, 2 Au 2.92
Au3 0.1850 0.3700 0.2811  1 Ga 2.69, 1 Sn 2.81, 2 Au 2.92
Au4 0.3700 0.1850 0.7189  1 Ga 2.69, 1 Sn 2.81, 2 Au 2.92
Au5 0.6300 0.8150 0.2811  1 Ga 2.69, 1 Sn 2.81, 2 Au 2.92
Ac3 0.0000 0.0000 0.0000  6 Au 3.19
Ga2 0.6667 0.3333 0.9641  3 Au 2.69
Au6 0.8150 0.1850 0.7189  1 Ga 2.69, 1 Sn 2.81, 2 Au 2.92
Sn1 0.0000 0.0000 0.5000  6 Au 2.81

## Properties
For the energy of formation from the pure elements, the calculation gives -558 meV/atom. As for the density of states at the Fermi level: 6.2 states/eV/cell. As for the symmetry: P-3m1 (164). For the calculated volume, the calculation gives 319 Å³/cell. Its total DFT energy (no corrections) is -4.06 eV/atom.

---

(9)
## AcGa2SnAu (PBE)

Data for a relaxed AcGa2SnAu crystal.

a = 4.7065 Å, b = 4.6236 Å, c = 6.4377 Å
α = 111.05°, β = 111.44°, γ = 90.00°
Closest atoms and distances in Å follow each position.
Positions (direct):
Ga1 0.6923 0.1923 0.3846  2 Au 2.74, 2 Ga 2.80
Ac1 0.4467 0.4467 0.8934  8 Ga 3.51-3.67, 4 Au 3.56, 4 Sn 3.60-3.64
Au1 0.8255 0.8255 0.6510  3 Ga 2.54-2.74, 2 Sn 2.77
Ga2 0.0549 0.0549 0.1098  1 Au 2.54, 2 Sn 2.77, 2 Ga 2.80
Sn1 0.1928 0.6928 0.3855  2 Ga 2.77, 2 Au 2.77

## Properties
For the energy of formation from the pure elements, the calculation gives -586 meV/atom. As for the density of states at the Fermi level: 1.7 states/eV/cell. As for the symmetry: Imm2 (44). For the calculated volume, the calculation gives 120 Å³/cell. Its total DFT energy (no corrections) is -4.07 eV/atom.

---

(10)
## AcGa2SnAu2 (PBE)

Data for a relaxed AcGa2SnAu2 crystal.

a = 4.6470 Å, b = 4.6470 Å, c = 7.4614 Å
α = 90.00°, β = 90.00°, γ = 120.00°
Closest atoms and distances in Å follow each position.
Positions (direct):
Au1 0.3333 0.6667 0.2899  3 Ga 2.69
Ga1 0.3333 0.6667 0.7290  3 Au 2.69
Sn1 0.0000 0.0000 0.5000  6 Au 3.11, 6 Ga 3.18
Ac1 0.0000 0.0000 0.0000  6 Ga 3.36, 6 Au 3.45, 2 Sn 3.73
Au2 0.6667 0.3333 0.7101  3 Ga 2.69
Ga2 0.6667 0.3333 0.2710  3 Au 2.69

## Properties
For the energy of formation from the pure elements, the calculation gives -494 meV/atom. As for the density of states at the Fermi level: 2.6 states/eV/cell. As for the symmetry: P-3m1 (164). For the calculated volume, the calculation gives 140 Å³/cell. Its total DFT energy (no corrections) is -3.95 eV/atom.

---

(11)
## Ac2GaSn4Au3 (PBE)

Data for a relaxed Ac2GaSn4Au3 crystal.

a = 4.8477 Å, b = 4.8477 Å, c = 11.0688 Å
α = 90.00°, β = 90.00°, γ = 90.00°
Closest atoms and distances in Å follow each position.
Positions (direct):
Sn1 0.5000 0.0000 0.6258  3 Au 2.67-2.80, 2 Ga 2.80
Au1 0.0000 0.0000 0.5000  4 Sn 2.80
Ga1 0.5000 0.5000 0.5000  4 Sn 2.80
Sn2 0.5000 0.5000 0.0000  4 Au 2.83
Sn3 0.0000 0.0000 0.0000  4 Au 2.83
Sn4 0.0000 0.5000 0.3742  3 Au 2.67-2.80, 2 Ga 2.80
Au2 0.0000 0.5000 0.1328  5 Sn 2.67-2.83
Ac1 0.0000 0.5000 0.7420  6 Au 3.61-3.70, 2 Ga 3.61, 8 Sn 3.66-3.75
Ac2 0.5000 0.0000 0.2580  2 Ga 3.61, 6 Au 3.61-3.70, 8 Sn 3.66-3.75
Au3 0.5000 0.0000 0.8672  5 Sn 2.67-2.83

## Properties
For the energy of formation from the pure elements, the calculation gives -578 meV/atom. As for the density of states at the Fermi level: 2.9 states/eV/cell. As for the symmetry: P-4m2 (115). For the calculated volume, the calculation gives 260 Å³/cell. Its total DFT energy (no corrections) is -4.29 eV/atom.

---

(12)
## Ac2GaSnAu6 (PBE)

Data for a relaxed Ac2GaSnAu6 crystal.

a = 7.2909 Å, b = 7.2713 Å, c = 6.6922 Å
α = 71.06°, β = 53.77°, γ = 94.08°
Closest atoms and distances in Å follow each position.
Positions (direct):
Au1 0.7539 0.2718 0.0015  1 Ga 2.57, 1 Sn 2.76
Ac1 0.1516 0.7298 0.5757  8 Au 3.19-3.50
Ga1 0.5000 0.5000 0.0000  6 Au 2.57-2.65
Au2 0.3697 0.3474 0.4939  1 Ga 2.61, 1 Sn 2.79, 1 Au 2.87
Sn1 0.0000 0.0000 0.0000  6 Au 2.76-2.79
Ac2 0.8484 0.2702 0.4243  8 Au 3.19-3.50
Au3 0.6303 0.6526 0.5061  1 Ga 2.61, 1 Sn 2.79, 1 Au 2.87
Au4 0.6703 0.8605 0.9502  1 Ga 2.65, 1 Sn 2.78, 1 Au 2.96
Au5 0.3297 0.1395 0.0498  1 Ga 2.65, 1 Sn 2.78, 1 Au 2.96
Au6 0.2461 0.7282 0.9985  1 Ga 2.57, 1 Sn 2.76

## Properties
For the energy of formation from the pure elements, the calculation gives -504 meV/atom. As for the density of states at the Fermi level: 3.9 states/eV/cell. As for the symmetry: P-1 (2). For the calculated volume, the calculation gives 254 Å³/cell. Its total DFT energy (no corrections) is -4.00 eV/atom.